Entry 1:
A geometry-optimized K4NiIr3S8 structure. Source: Alexandria via LeMat-Bulk, functional PBE-GGA.

## Properties
**Crystal system**: trigonal
**ΔE_f (raw)**: -63.4 kJ per mole of atoms
**Fermi-level density of states**: 3.38 states/eV per cell

Unit cell a=7.4341 b=8.0255 c=7.4329 alpha=117.58 beta=120.01 gamma=90.00
Fractional coordinates of all 16 atoms:
S 0.7787 0.3359 0.5575
S 0.2786 0.3357 0.0572
S 0.2784 0.3353 0.5569
S 0.7786 0.3357 0.0572
S 0.7214 0.6643 0.9428
S 0.2214 0.6643 0.9428
S 0.7216 0.6647 0.4431
S 0.2213 0.6641 0.4425
K 0.0000 0.0000 0.0000
K 0.5000 0.0000 0.0000
K 0.0000 0.0000 0.5000
K 0.5000 0.0000 0.5000
Ir 0.5000 0.5000 0.5000
Ir 0.5000 0.5000 0.0000
Ir 0.0000 0.5000 0.5000
Ni 0.0000 0.5000 0.0000

Entry 2:
A geometry-optimized KSc2NiIr structure. Source: Alexandria via LeMat-Bulk, functional PBE-GGA.

## Properties
**Polymorph energy (0 for the lowest one)**: 0.0 meV/atom
**Crystal system**: tetragonal
**Fermi-level density of states**: 3.60 states/eV per cell

Unit cell a=5.0269 b=4.9736 c=5.0269 alpha=90.00 beta=90.00 gamma=90.00
Fractional coordinates of all 5 atoms:
Sc 0.5000 0.0000 0.0000
Sc 0.0000 0.0000 0.5000
Ir 0.0000 0.0000 0.0000
K 0.5000 0.5000 0.5000
Ni 0.0000 0.5000 0.0000

Entry 3:
A geometry-optimized KSc2NiIr structure. Source: Alexandria via LeMat-Bulk, functional PBE-GGA.

## Properties
**Polymorph energy (0 for the lowest one)**: 163.5 meV/atom
**Crystal system**: tetragonal
**Fermi-level density of states**: 3.14 states/eV per cell

Unit cell a=4.8520 b=4.8247 c=4.8520 alpha=90.00 beta=90.00 gamma=90.00
Fractional coordinates of all 5 atoms:
K 0.5000 0.5000 0.5000
Ni 0.0000 0.0000 0.0000
Ir 0.0000 0.5000 0.0000
Sc 0.0000 0.0000 0.5000
Sc 0.5000 0.0000 0.0000

Entry 4:
A geometry-optimized KSc2NiIr structure. Source: Alexandria via LeMat-Bulk, functional PBE-GGA.

## Properties
**Polymorph energy (0 for the lowest one)**: 453.3 meV/atom
**Crystal system**: tetragonal
**Fermi-level density of states**: 4.81 states/eV per cell

Unit cell a=4.9689 b=5.8353 c=4.9689 alpha=90.00 beta=90.00 gamma=90.00
Fractional coordinates of all 5 atoms:
Sc 0.0000 0.0000 0.5000
Sc 0.5000 0.0000 0.0000
K 0.0000 0.5000 0.0000
Ir 0.0000 0.0000 0.0000
Ni 0.5000 0.5000 0.5000

Entry 5:
A geometry-optimized KNiIrSe2 structure. Source: Alexandria via LeMat-Bulk, functional PBE-GGA.

## Properties
**Crystal system**: tetragonal
**ΔE_f (raw)**: 82.5 kJ per mole of atoms
**Fermi-level density of states**: 4.18 states/eV per cell

Unit cell a=4.6543 b=4.8470 c=4.6543 alpha=90.00 beta=90.00 gamma=90.00
Fractional coordinates of all 5 atoms:
Ni 0.0000 0.0000 0.0000
K 0.0000 0.5000 0.0000
Se 0.5000 0.0000 0.0000
Se 0.0000 0.0000 0.5000
Ir 0.5000 0.5000 0.5000

Entry 6:
A geometry-optimized K2NiTeIr structure. Source: Alexandria via LeMat-Bulk, functional PBE-GGA.

## Properties
**Crystal system**: tetragonal
**ΔE_f (raw)**: 58.3 kJ per mole of atoms
**Fermi-level density of states**: 6.31 states/eV per cell

Unit cell a=6.0293 b=6.0293 c=4.4478 alpha=90.00 beta=90.00 gamma=90.00
Fractional coordinates of all 5 atoms:
Ni 0.0000 0.0000 0.0000
Te 0.5000 0.5000 0.5000
K 0.0000 0.5000 0.0000
K 0.5000 0.0000 0.0000
Ir 0.0000 0.0000 0.5000

Entry 7:
A geometry-optimized KNp2IrO8 structure. Source: Alexandria via LeMat-Bulk, functional PBE-GGA.

## Properties
**Crystal system**: monoclinic
**ΔE_f (raw)**: -201.1 kJ per mole of atoms
**Fermi-level density of states**: 7.74 states/eV per cell

Unit cell a=4.9818 b=4.9798 c=7.0044 alpha=87.78 beta=87.80 gamma=87.25
Fractional coordinates of all 12 atoms:
O 0.7924 0.2169 0.8005
O 0.7101 0.7106 0.0119
O 0.6620 0.6629 0.5295
O 0.2899 0.2894 0.9881
O 0.2164 0.7920 0.8006
O 0.2076 0.7831 0.1995
O 0.7836 0.2080 0.1994
O 0.3380 0.3371 0.4705
K 0.0000 0.0000 0.5000
Np 0.4854 0.4855 0.7576
Np 0.5146 0.5145 0.2424
Ir 0.0000 0.0000 0.0000

Entry 8:
A geometry-optimized K2NpIrO6 structure. Source: Alexandria via LeMat-Bulk, functional PBE-GGA.

## Properties
**Crystal system**: tetragonal
**ΔE_f (raw)**: -180.7 kJ per mole of atoms
**Fermi-level density of states**: 6.67 states/eV per cell

Unit cell a=5.7460 b=5.7465 c=6.6173 alpha=64.24 beta=64.24 gamma=90.00
Fractional coordinates of all 10 atoms:
Ir 0.5000 0.5000 0.0000
O 0.2660 0.7343 0.0000
O 0.7342 0.7339 0.0002
O 0.2658 0.2661 0.9998
O 0.7340 0.2657 0.0000
O 0.1803 0.1803 0.6397
O 0.8197 0.8197 0.3603
K 0.7501 0.2500 0.4999
K 0.2499 0.7500 0.5001
Np 0.0000 0.0000 0.0000

Entry 9:
A geometry-optimized K2Np2IrS6 structure. Source: Alexandria via LeMat-Bulk, functional PBE-GGA.

## Properties
**Crystal system**: monoclinic
**ΔE_f (raw)**: -104.7 kJ per mole of atoms
**Fermi-level density of states**: 19.79 states/eV per cell

Unit cell a=6.4746 b=6.4746 c=8.0196 alpha=98.23 beta=98.23 gamma=118.77
Fractional coordinates of all 11 atoms:
S 0.2359 0.2359 0.3085
S 0.9307 0.6254 0.3073
S 0.0693 0.3746 0.6927
S 0.7641 0.7641 0.6915
S 0.6254 0.9307 0.3073
S 0.3746 0.0693 0.6927
Ir 0.0000 0.0000 0.5000
Np 0.6675 0.3325 0.5000
Np 0.3325 0.6675 0.5000
K 0.8271 0.1729 0.0000
K 0.1729 0.8271 0.0000

Entry 10:
A geometry-optimized K3Np3IrSe8 structure. Source: Alexandria via LeMat-Bulk, functional PBE-GGA.

## Properties
**Crystal system**: trigonal
**ΔE_f (raw)**: -98.9 kJ per mole of atoms
**Fermi-level density of states**: 25.38 states/eV per cell

Unit cell a=8.1329 b=8.1315 c=9.2185 alpha=116.15 beta=90.00 gamma=120.01
Fractional coordinates of all 15 atoms:
Se 0.2634 0.5269 0.2903
Se 0.7366 0.4731 0.7097
Se 0.2150 0.4299 0.6898
Se 0.2403 0.0253 0.3102
Se 0.2150 0.9747 0.6898
Se 0.7850 0.0253 0.3102
Se 0.7597 0.9747 0.6898
Se 0.7850 0.5701 0.3102
Ir 0.0000 0.0000 0.5000
Np 0.5000 0.5000 0.5000
Np 0.0000 0.5000 0.5000
Np 0.5000 0.0000 0.5000
K 0.0000 0.0000 0.0000
K 0.5000 0.5000 0.0000
K 0.0000 0.5000 0.0000

Entry 11:
A geometry-optimized K2Ir3O8 structure. Source: Alexandria via LeMat-Bulk, functional PBE-GGA.

## Properties
**Crystal system**: monoclinic
**ΔE_f (raw)**: -97.3 kJ per mole of atoms
**Fermi-level density of states**: 9.97 states/eV per cell

Unit cell a=5.4056 b=6.3745 c=7.0530 alpha=116.87 beta=107.15 gamma=90.00
Fractional coordinates of all 13 atoms:
O 0.6280 0.7028 0.8363
O 0.9012 0.0837 0.1673
O 0.0285 0.4091 0.8183
O 0.0988 0.9163 0.8327
O 0.6280 0.1335 0.8363
O 0.9715 0.5909 0.1817
O 0.3720 0.8665 0.1637
O 0.3720 0.2972 0.1637
Ir 0.5000 0.0000 0.0000
Ir 0.0000 0.2570 0.0000
Ir 0.0000 0.7430 0.0000
K 0.3266 0.2768 0.5535
K 0.6734 0.7232 0.4465

Entry 12:
A geometry-optimized K2IrO5 structure. Source: Alexandria via LeMat-Bulk, functional PBE-GGA.

## Properties
**Polymorph energy (0 for the lowest one)**: 58.8 meV/atom
**Crystal system**: tetragonal
**ΔE_f (raw)**: -85.1 kJ per mole of atoms
**Fermi-level density of states**: 4.64 states/eV per cell

Unit cell a=3.8395 b=6.1997 c=6.1997 alpha=90.00 beta=90.00 gamma=90.00
Fractional coordinates of all 8 atoms:
O 0.0000 0.7871 0.2129
O 0.0000 0.2129 0.7871
O 0.0000 0.7871 0.7871
O 0.0000 0.2129 0.2129
O 0.5000 0.0000 0.0000
Ir 0.0000 0.0000 0.0000
K 0.5000 0.0000 0.5000
K 0.5000 0.5000 0.0000

Entry 13:
A geometry-optimized KIrO3 structure. Source: Alexandria via LeMat-Bulk, functional PBE-GGA.

## Properties
**Crystal system**: cubic
**ΔE_f (raw)**: -83.3 kJ per mole of atoms
**Fermi-level density of states**: 3.76 states/eV per cell

Unit cell a=3.9244 b=3.9244 c=3.9244 alpha=90.00 beta=90.00 gamma=90.00
Fractional coordinates of all 5 atoms:
K 0.5000 0.5000 0.5000
O 0.0000 0.5000 0.0000
O 0.0000 0.0000 0.5000
O 0.5000 0.0000 0.0000
Ir 0.0000 0.0000 0.0000

Entry 14:
A geometry-optimized KIr2O2 structure. Source: Alexandria via LeMat-Bulk, functional PBE-GGA.

## Properties
**Polymorph energy (0 for the lowest one)**: 289.3 meV/atom
**Crystal system**: tetragonal
**ΔE_f (raw)**: 18.7 kJ per mole of atoms
**Fermi-level density of states**: 4.44 states/eV per cell

Unit cell a=4.0857 b=4.0857 c=6.4028 alpha=71.39 beta=71.39 gamma=90.00
Fractional coordinates of all 5 atoms:
Ir 0.7127 0.7127 0.5746
Ir 0.2873 0.2873 0.4254
O 0.7500 0.2500 0.5000
O 0.2500 0.7500 0.5000
K 0.0000 0.0000 0.0000

Entry 15:
A geometry-optimized K3IrO3 structure. Source: Alexandria via LeMat-Bulk, functional PBE-GGA.

## Properties
**Polymorph energy (0 for the lowest one)**: 0.0 meV/atom
**Crystal system**: orthorhombic
**ΔE_f (raw)**: -107.1 kJ per mole of atoms

Unit cell a=5.5063 b=8.1104 c=8.1104 alpha=119.92 beta=90.00 gamma=90.00
Fractional coordinates of all 14 atoms:
O 0.2500 0.8001 0.5995
O 0.7500 0.5996 0.7996
O 0.2500 0.7999 0.1995
O 0.7500 0.2001 0.8005
O 0.2500 0.4004 0.2004
O 0.7500 0.1999 0.4005
Ir 0.2500 0.6668 0.3332
Ir 0.7500 0.3332 0.6668
K 0.7500 0.8183 0.1812
K 0.7500 0.3638 0.1822
K 0.2500 0.6362 0.8178
K 0.2500 0.1816 0.3638
K 0.7500 0.8184 0.6362
K 0.2500 0.1817 0.8188

Entry 16:
A geometry-optimized KIr4O8 structure. Source: Alexandria via LeMat-Bulk, functional PBE-GGA.

## Properties
**Polymorph energy (0 for the lowest one)**: 0.0 meV/atom
**Crystal system**: tetragonal
**ΔE_f (raw)**: -80.9 kJ per mole of atoms
**Fermi-level density of states**: 9.63 states/eV per cell

Unit cell a=7.3107 b=7.3107 c=7.3107 alpha=92.77 beta=92.77 gamma=154.61
Fractional coordinates of all 13 atoms:
O 0.8498 0.2017 0.0515
O 0.8392 0.4529 0.2921
O 0.5471 0.8392 0.3862
O 0.1502 0.7983 0.9485
O 0.2017 0.1502 0.3519
O 0.1608 0.5471 0.7079
O 0.4529 0.1608 0.6138
O 0.7983 0.8498 0.6481
Ir 0.1669 0.3517 0.5186
Ir 0.3517 0.8331 0.1848
Ir 0.8331 0.6483 0.4814
Ir 0.6483 0.1669 0.8152
K 0.5000 0.5000 0.0000

Entry 17:
A geometry-optimized K3IrO3 structure. Source: Alexandria via LeMat-Bulk, functional PBE-GGA.

## Properties
**Polymorph energy (0 for the lowest one)**: 73.9 meV/atom
**Crystal system**: trigonal
**ΔE_f (raw)**: -100.0 kJ per mole of atoms

Unit cell a=5.8979 b=5.3046 c=5.8979 alpha=107.45 beta=111.42 gamma=107.45
Fractional coordinates of all 7 atoms:
K 0.0000 0.0100 0.5913
K 0.4087 0.4187 0.4087
K 0.5913 0.0100 0.0000
O 0.0000 0.5369 0.6672
O 0.3328 0.8698 0.3328
O 0.6672 0.5369 0.0000
Ir 0.0000 0.6426 0.0000

Entry 18:
A geometry-optimized K2IrO3 structure. Source: Alexandria via LeMat-Bulk, functional PBE-GGA.

## Properties
**Crystal system**: triclinic
**ΔE_f (raw)**: -107.8 kJ per mole of atoms
**Fermi-level density of states**: 1.85 states/eV per cell

Unit cell a=6.6145 b=6.5335 c=7.2501 alpha=84.53 beta=88.22 gamma=122.69
Fractional coordinates of all 12 atoms:
O 0.7549 0.1179 0.7302
O 0.6382 0.7256 0.2870
O 0.8769 0.6187 0.8201
O 0.2451 0.8821 0.2698
O 0.3618 0.2744 0.7130
O 0.1231 0.3813 0.1799
K 0.0000 0.0000 0.5000
K 0.6981 0.3559 0.2238
K 0.0000 0.0000 0.0000
K 0.3019 0.6441 0.7762
Ir 0.6499 0.3192 0.7476
Ir 0.3501 0.6808 0.2524

Entry 19:
A geometry-optimized K2IrO5 structure. Source: Alexandria via LeMat-Bulk, functional PBE-GGA.

## Properties
**Polymorph energy (0 for the lowest one)**: 0.0 meV/atom
**Crystal system**: monoclinic
**ΔE_f (raw)**: -90.8 kJ per mole of atoms
**Fermi-level density of states**: 7.17 states/eV per cell

Unit cell a=6.1651 b=7.1823 c=7.6367 alpha=59.04 beta=66.19 gamma=64.58
Fractional coordinates of all 16 atoms:
O 0.1811 0.0778 0.7006
O 0.8608 0.9892 0.4284
O 0.7216 0.4892 0.9284
O 0.8126 0.0337 0.0644
O 0.7247 0.3351 0.6829
O 0.2573 0.8351 0.1829
O 0.0405 0.5778 0.2006
O 0.1780 0.2321 0.9458
O 0.6441 0.7321 0.4458
O 0.0894 0.5337 0.5644
K 0.6125 0.4424 0.3303
K 0.2884 0.6243 0.7994
K 0.6148 0.9424 0.8303
K 0.2879 0.1243 0.2994
Ir 0.9514 0.2838 0.8142
Ir 0.9506 0.7838 0.3142

Entry 20:
A geometry-optimized K4IrO4 structure. Source: Alexandria via LeMat-Bulk, functional PBE-GGA.

## Properties
**Polymorph energy (0 for the lowest one)**: 254.7 meV/atom
**Crystal system**: tetragonal
**ΔE_f (raw)**: -93.8 kJ per mole of atoms
**Fermi-level density of states**: 0.78 states/eV per cell

Unit cell a=6.1454 b=6.1454 c=7.5345 alpha=114.07 beta=114.07 gamma=90.00
Fractional coordinates of all 9 atoms:
O 0.0460 0.0460 0.7752
O 0.7292 0.7292 0.7752
O 0.2708 0.9540 0.2248
O 0.9540 0.2708 0.2248
Ir 0.0000 0.0000 0.0000
K 0.2853 0.2853 0.5705
K 0.0000 0.5000 0.0000
K 0.5000 0.0000 0.0000
K 0.7147 0.7147 0.4295

| no. | density (g/cm³) |
| --- | --- |
| 1 | 5.4 |
| 2 | 5.0 |
| 3 | 5.6 |
| 4 | 4.4 |
| 5 | 7.1 |
| 6 | 4.7 |
| 7 | 8.0 |
| 8 | 5.8 |
| 9 | 5.5 |
| 10 | 6.0 |
| 11 | 6.4 |
| 12 | 3.9 |
| 13 | 7.7 |
| 14 | 7.9 |
| 15 | 3.8 |
| 16 | 9.5 |
| 17 | 4.1 |
| 18 | 4.0 |
| 19 | 4.6 |
| 20 | 2.9 |